# 1
DFT (GGA-PBE) results for a relaxed structure of Cd12CuHg6.

## Properties
VASP energy   -0.84 eV/atom
Mass density   9.7 g/cm³
Crystal system   trigonal
Formation energy   0.05 eV per atom
Total magnetic moment   0.0 μB per formula unit

a = 7.675 Å, b = 7.675 Å, c = 7.675 Å
α = 94.81°, β = 94.81°, γ = 94.81°
Fractional coordinates of all 19 atoms:
Cd (0.198, 0.537, 0.470)
Hg (0.720, 0.258, 0.873)
Cd (0.470, 0.198, 0.537)
Cd (0.948, 0.639, 0.872)
Hg (0.873, 0.720, 0.258)
Hg (0.280, 0.742, 0.127)
Hg (0.742, 0.127, 0.280)
Cd (0.128, 0.052, 0.361)
Hg (0.258, 0.873, 0.720)
Cd (0.361, 0.128, 0.052)
Cd (0.052, 0.361, 0.128)
Cd (0.463, 0.530, 0.802)
Cd (0.802, 0.463, 0.530)
Hg (0.127, 0.280, 0.742)
Cd (0.639, 0.872, 0.948)
Cd (0.530, 0.802, 0.463)
Cd (0.537, 0.470, 0.198)
Cd (0.872, 0.948, 0.639)
Cu (0.000, 0.000, 0.000)

# 2
DFT (GGA-PBE) results for a relaxed structure of Al2TlC.

## Properties
VASP energy   -4.45 eV/atom
Mass density   5.9 g/cm³
Crystal system   tetragonal
Formation energy   0.32 eV per atom
Total magnetic moment   0.0 μB per formula unit

a = 5.872 Å, b = 5.872 Å, c = 6.054 Å
α = 60.99°, β = 60.99°, γ = 90.00°
Fractional coordinates of all 8 atoms:
Tl (0.750, 0.250, 0.500)
C (0.500, 0.500, 0.000)
Al (0.375, 0.505, 0.750)
Al (0.255, 0.625, 0.250)
Al (0.875, 0.745, 0.750)
C (0.250, 0.750, 0.500)
Al (0.495, 0.125, 0.250)
Tl (0.000, 0.000, 0.000)

# 3
DFT (GGA-PBE) results for a relaxed structure of In2SbRh.

## Properties
VASP energy   -4.12 eV/atom
Mass density   8.7 g/cm³
Crystal system   tetragonal
Raw formation energy   0.1195 eV per atom
Total magnetic moment   0.0 μB per formula unit

a = 4.556 Å, b = 4.556 Å, c = 4.161 Å
α = 90.00°, β = 90.00°, γ = 90.00°
Fractional coordinates of all 4 atoms:
Rh (0.500, 0.500, 0.500)
In (0.500, 0.000, 0.000)
In (0.000, 0.500, 0.000)
Sb (0.000, 0.000, 0.500)

# 4
DFT (GGA-PBE) results for a relaxed structure of YFeRu2.

## Properties
VASP energy   -8.24 eV/atom
Mass density   8.8 g/cm³
Crystal system   tetragonal
Formation energy   0.13 eV per atom
Total magnetic moment   3.5 μB per formula unit

a = 3.277 Å, b = 4.478 Å, c = 4.478 Å
α = 90.00°, β = 90.00°, γ = 90.00°
Each line ends with the local moment (μB).
Fractional coordinates of all 4 atoms:
Y (0.500, 0.500, 0.000)  -0.06
Fe (0.500, 0.000, 0.500)  2.98
Ru (0.000, 0.500, 0.500)  0.30
Ru (0.000, 0.000, 0.000)  0.30

# 5
DFT (GGA-PBE) results for a relaxed structure of Sr3La3DyTe8.

## Properties
VASP energy   -4.91 eV/atom
Mass density   5.5 g/cm³
Crystal system   trigonal
Raw formation energy   -1.6075 eV per atom
Total magnetic moment   0.0 μB per formula unit

a = 9.172 Å, b = 9.172 Å, c = 9.349 Å
α = 119.37°, β = 90.00°, γ = 120.00°
Fractional coordinates of all 15 atoms:
Sr (0.000, 0.500, 0.000)
Dy (0.000, 0.000, 0.500)
Te (0.760, 0.005, 0.265)
La (0.500, 0.500, 0.500)
Sr (0.000, 0.000, 0.000)
Te (0.754, 0.995, 0.735)
Te (0.240, 0.481, 0.735)
Te (0.760, 0.519, 0.265)
Te (0.240, 0.995, 0.735)
Te (0.748, 0.496, 0.745)
Te (0.252, 0.504, 0.255)
La (0.000, 0.500, 0.500)
Te (0.246, 0.005, 0.265)
Sr (0.500, 0.500, 0.000)
La (0.500, 0.000, 0.500)

# 6
DFT (GGA-PBE) results for a relaxed structure of LiRe2Se.

## Properties
VASP energy   -7.13 eV/atom
Mass density   11.9 g/cm³
Crystal system   monoclinic
Raw formation energy   0.4456 eV per atom
Total magnetic moment   0.0 μB per formula unit

a = 4.993 Å, b = 2.796 Å, c = 4.575 Å
α = 91.59°, β = 90.00°, γ = 90.00°
Fractional coordinates of all 4 atoms:
Se (0.500, 0.250, 0.250)
Li (0.500, 0.750, 0.750)
Re (0.000, 0.445, 0.509)
Re (0.000, 0.055, 0.991)

# 7
DFT (GGA-PBE) results for a relaxed structure of KGaHg2Br4.

## Properties
VASP energy   -2.26 eV/atom
Mass density   3.8 g/cm³
Crystal system   orthorhombic
Raw formation energy   -0.8372 eV per atom
Total magnetic moment   0.0 μB per formula unit

a = 8.183 Å, b = 7.570 Å, c = 14.381 Å
α = 81.15°, β = 73.47°, γ = 57.28°
Fractional coordinates of all 16 atoms:
Br (0.515, 0.212, 0.098)
Br (0.477, 0.288, 0.598)
Br (0.387, 0.788, 0.098)
Br (0.273, 0.212, 0.902)
Ga (0.500, 0.000, 0.000)
Br (0.235, 0.288, 0.402)
Br (0.925, 0.712, 0.598)
Hg (0.601, 0.500, 0.799)
K (0.000, 0.000, 0.000)
K (0.750, 0.500, 0.500)
Ga (0.250, 0.500, 0.500)
Hg (0.149, 0.000, 0.701)
Hg (0.851, 0.000, 0.299)
Br (0.363, 0.712, 0.402)
Hg (0.899, 0.500, 0.201)
Br (0.825, 0.788, 0.902)

# 8
DFT (GGA-PBE) results for a relaxed structure of LiGaSi.

## Properties
VASP energy   -3.56 eV/atom
Mass density   3.2 g/cm³
Crystal system   trigonal
Raw formation energy   -0.1045 eV per atom
Total magnetic moment   0.0 μB per formula unit

a = 7.529 Å, b = 7.529 Å, c = 7.529 Å
α = 32.43°, β = 32.43°, γ = 32.43°
Fractional coordinates of all 6 atoms:
Ga (0.880, 0.880, 0.880)
Si (0.756, 0.756, 0.756)
Ga (0.120, 0.120, 0.120)
Li (0.628, 0.628, 0.628)
Li (0.372, 0.372, 0.372)
Si (0.244, 0.244, 0.244)

# 9
DFT (GGA-PBE) results for a relaxed structure of Dy2PPt6.

## Properties
VASP energy   -6.65 eV/atom
Mass density   15.8 g/cm³
Crystal system   monoclinic
Formation energy   -1.00 eV per atom
Total magnetic moment   0.0 μB per formula unit

a = 5.635 Å, b = 5.621 Å, c = 6.020 Å
α = 78.31°, β = 90.00°, γ = 120.08°
Fractional coordinates of all 9 atoms:
P (0.000, 0.000, 0.000)
Pt (0.874, 0.748, 0.712)
Dy (0.642, 0.284, 0.148)
Pt (0.126, 0.252, 0.288)
Pt (0.878, 0.263, 0.696)
Pt (0.615, 0.737, 0.304)
Pt (0.385, 0.263, 0.696)
Dy (0.358, 0.716, 0.852)
Pt (0.122, 0.737, 0.304)

# 10
DFT (GGA-PBE) results for a relaxed structure of Pm12Ho7Sc.

## Properties
VASP energy   -4.61 eV/atom
Mass density   7.3 g/cm³
Crystal system   trigonal
Formation energy   0.16 eV per atom
Total magnetic moment   0.0 μB per formula unit

a = 9.345 Å, b = 9.345 Å, c = 9.345 Å
α = 107.80°, β = 107.80°, γ = 107.80°
Fractional coordinates of all 20 atoms:
Pm (0.219, 0.677, 0.382)
Pm (0.056, 0.296, 0.404)
Sc (0.000, 0.000, 0.000)
Ho (0.101, 0.685, 0.994)
Pm (0.323, 0.618, 0.781)
Pm (0.596, 0.944, 0.704)
Pm (0.618, 0.781, 0.323)
Pm (0.944, 0.704, 0.596)
Pm (0.382, 0.219, 0.677)
Pm (0.296, 0.404, 0.056)
Ho (0.899, 0.315, 0.006)
Ho (0.006, 0.899, 0.315)
Ho (0.685, 0.994, 0.101)
Pm (0.404, 0.056, 0.296)
Pm (0.704, 0.596, 0.944)
Ho (0.500, 0.500, 0.500)
Ho (0.994, 0.101, 0.685)
Pm (0.781, 0.323, 0.618)
Pm (0.677, 0.382, 0.219)
Ho (0.315, 0.006, 0.899)

# 11
DFT (GGA-PBE) results for a relaxed structure of K3Zn2Se4.

## Properties
VASP energy   -3.07 eV/atom
Mass density   3.6 g/cm³
Crystal system   monoclinic
Raw formation energy   -0.8731 eV per atom
Total magnetic moment   0.0 μB per formula unit

a = 3.968 Å, b = 7.933 Å, c = 10.037 Å
α = 120.33°, β = 90.00°, γ = 104.48°
Fractional coordinates of all 9 atoms:
K (0.000, 0.000, 0.000)
Se (0.117, 0.233, 0.412)
Se (0.692, 0.384, 0.112)
Zn (0.308, 0.616, 0.648)
Se (0.308, 0.616, 0.888)
K (0.389, 0.779, 0.278)
K (0.611, 0.221, 0.722)
Se (0.883, 0.767, 0.588)
Zn (0.692, 0.384, 0.352)

# 12
DFT (GGA-PBE) results for a relaxed structure of ZnTeIr2.

## Properties
VASP energy   -5.25 eV/atom
Mass density   13.7 g/cm³
Crystal system   monoclinic
Raw formation energy   0.2823 eV per atom
Total magnetic moment   0.0 μB per formula unit

a = 4.477 Å, b = 2.935 Å, c = 5.460 Å
α = 103.12°, β = 90.00°, γ = 90.00°
Fractional coordinates of all 4 atoms:
Te (0.500, 0.250, 0.250)
Ir (0.000, 0.107, 0.966)
Ir (0.000, 0.393, 0.534)
Zn (0.500, 0.750, 0.750)

total magnetic moment of number 4 (YFeRu2)? 3.5 μB per formula unit

Which formula does entry 3 have? In2SbRh

The highest mass density belongs to which entry? Dy2PPt6

Which of these has the highest VASP energy? Cd12CuHg6